--- i ---
VASP calculation (GGA-PBEsol) on a relaxed Li2LaCu crystal.

```
4
Lattice="4.460 0.000 0.000 2.230 4.437 0.025 2.230 1.575 4.149" Properties=species:S:1:pos:R:3 pbc="T T T"
Li 2.230 1.569 1.089
Li 4.460 0.145 0.100
Cu 4.460 2.839 1.971
La 6.689 4.466 3.101
```

Output
Space group: Imm2
N(E_F), states/eV/f.u.: 3.56

=====

--- ii ---
VASP calculation (GGA-PBEsol) on a relaxed Li2LaCu crystal.

```
4
Lattice="4.090 0.000 0.000 0.000 4.090 0.000 -2.045 -2.045 5.148" Properties=species:S:1:pos:R:3 pbc="T T T"
Cu 2.045 2.045 0.000
Li 0.000 2.045 2.574
Li 2.045 0.000 2.574
La 0.000 0.000 0.000
```

Output
Space group: I4/mmm
N(E_F), states/eV/f.u.: 2.16

=====

Which is the most stable structure? i is the most stable.

=====

--- i ---
VASP calculation (GGA-PBEsol) on a relaxed BeSi2Cl crystal.

```
4
Lattice="2.755 0.000 0.000 0.000 4.482 0.000 0.000 0.000 4.700" Properties=species:S:1:pos:R:3 pbc="T T T"
Si 0.000 0.000 0.000
Si 1.378 0.000 2.350
Cl 0.000 2.241 2.350
Be 1.378 2.241 0.000
```

Output
Space group: Pmmm
N(E_F), states/eV/f.u.: 1.01

=====

--- ii ---
VASP calculation (GGA-PBEsol) on a relaxed BeSi2Cl crystal.

```
4
Lattice="-0.282 -0.368 2.704 4.605 -0.397 0.426 0.334 4.583 0.658" Properties=species:S:1:pos:R:3 pbc="T T T"
Cl -0.141 -0.184 1.352
Si 0.167 2.292 0.329
Be 2.329 1.909 1.894
Si 2.303 -0.199 0.213
```

Output
Space group: P4/mmm
N(E_F), states/eV/f.u.: 1.68

=====

Which is the most stable structure? i is the most stable.

=====

--- i ---
VASP calculation (GGA-PBEsol) on a relaxed ZnCuAg crystal.

```
3
Lattice="2.819 0.000 0.000 0.000 3.328 0.000 -1.410 -1.664 4.423" Properties=species:S:1:pos:R:3 pbc="T T T"
Zn 0.000 0.000 2.835
Cu 1.410 1.664 1.581
Ag 0.000 0.000 0.007
```

Output
Space group: Imm2
N(E_F), states/eV/f.u.: 0.90

=====

--- ii ---
VASP calculation (GGA-PBEsol) on a relaxed ZnCuAg crystal.

```
3
Lattice="2.736 0.000 0.000 0.000 4.200 0.000 0.000 -2.100 3.638" Properties=species:S:1:pos:R:3 pbc="T T T"
Cu 1.392 2.100 1.213
Ag 0.002 0.000 0.000
Zn 1.343 0.000 2.425
```

Output
Space group: P3m1
N(E_F), states/eV/f.u.: 0.83

=====

Which is the most stable structure? i is the most stable.

=====

--- i ---
VASP calculation (GGA-PBEsol) on a relaxed LiCo2O4 crystal.

```
7
Lattice="2.797 0.000 0.000 0.000 4.801 -0.036 0.000 -1.620 4.736" Properties=species:S:1:pos:R:3 pbc="T T T"
O 1.398 0.006 3.341
O 0.000 2.385 3.289
Co 0.000 -0.810 2.368
O 1.398 3.175 1.359
Li 0.000 2.401 -0.018
O 0.000 0.796 1.412
Co 1.398 1.591 2.350
```

Output
Space group: P2/m
N(E_F), states/eV/f.u.: 5.37

=====

--- ii ---
VASP calculation (GGA-PBEsol) on a relaxed LiCo2O4 crystal.

```
56
Lattice="-1.087 -7.140 3.268 -2.783 -2.734 -6.900 7.343 -2.094 -2.131" Properties=species:S:1:pos:R:3 pbc="T T T"
Li 1.041 -6.667 -4.607
O 3.694 -5.228 -7.516
O 2.585 -3.817 -5.351
Co 1.899 -9.265 -2.786
O 0.019 -5.158 1.028
O 3.470 -8.576 -5.839
O -0.829 -2.955 -4.056
Co 2.018 -4.593 -6.962
Co 4.430 -9.105 -1.593
Co 3.833 -4.328 -0.970
O -2.388 -8.868 -3.620
Co 5.941 -3.067 -2.319
Co 1.302 -4.488 -2.162
O -0.521 -7.750 -4.816
Li -1.218 -5.043 -6.616
O 5.619 -4.681 -1.420
Co -0.632 -9.425 -3.978
O -1.157 -7.567 0.181
Li -0.371 -7.245 -1.532
O 1.123 -9.981 -4.336
O 2.047 -3.974 -0.519
Co -0.262 -2.179 -2.446
Li 3.844 -4.722 -4.232
O 3.685 -9.618 -3.236
O 1.414 -2.813 -3.000
O 0.113 -8.912 -2.335
O 0.342 -3.959 -6.407
O 4.327 -6.389 -5.034
O 1.190 -6.162 -1.323
Co -2.197 -7.116 -4.262
Co 0.878 -3.386 -4.704
O 0.557 -5.001 -3.805
O -1.630 -6.340 -2.651
Li -1.239 -4.254 -0.091
Co -0.381 -6.851 1.731
Co 3.582 -6.902 -6.677
Co 2.866 -6.796 -1.877
Co 1.726 -5.589 0.381
O 4.234 -2.635 -1.672
O 2.299 -7.572 -3.488
O 3.057 -5.044 -2.520
O 1.405 -7.203 1.280
O 5.175 -8.592 0.050
O 4.542 -7.431 -2.431
Li 1.888 -8.870 0.477
O 5.405 -3.639 -4.023
O -2.005 -5.364 -4.904
O -0.453 -3.931 -1.804
O 1.827 -6.346 -6.320
O 3.433 -6.020 -0.267
Co -1.229 -4.648 -3.354
Co 4.006 -8.003 -4.135
Li 5.255 -4.145 -7.307
Li 4.692 -6.925 0.852
O 0.306 -1.404 -0.835
O 2.675 -8.548 -1.236
```

Output
Space group: Fd-3m
N(E_F), states/eV/f.u.: 5.52

=====

Which is the most stable structure? ii is the most stable.

=====

--- i ---
VASP calculation (GGA-PBEsol) on a relaxed Tl2InSe crystal.

```
4
Lattice="-3.410 -0.532 1.844 2.081 -3.501 2.838 0.441 5.767 2.480" Properties=species:S:1:pos:R:3 pbc="T T T"
Tl -0.400 -0.360 3.309
Se -0.522 2.934 4.034
In 0.445 2.263 1.475
Tl 2.332 2.046 4.901
```

Output
Space group: Pm
N(E_F), states/eV/f.u.: 1.26

=====

--- ii ---
VASP calculation (GGA-PBEsol) on a relaxed Tl2InSe crystal.

```
4
Lattice="-0.969 -2.299 -2.954 2.297 -2.949 -0.989 -3.849 -6.911 4.110" Properties=species:S:1:pos:R:3 pbc="T T T"
In -1.103 -5.890 -0.117
Tl 1.214 -5.385 -3.800
Tl -1.829 -9.045 0.046
Se -0.736 -3.168 0.176
```

Output
Space group: R3m
N(E_F), states/eV/f.u.: 1.35

=====

Which is the most stable structure? ii is the most stable.

=====

--- i ---
VASP calculation (GGA-PBEsol) on a relaxed ZrIrCl2 crystal.

```
4
Lattice="-3.046 -0.354 2.740 -2.738 -0.160 -3.064 3.251 -3.710 0.048" Properties=species:S:1:pos:R:3 pbc="T T T"
Ir -2.892 -0.257 -0.162
Cl -1.344 -2.160 1.313
Cl -1.190 -2.063 -1.589
Zr 0.000 0.000 0.000
```

Output
Space group: I4/mmm
N(E_F), states/eV/f.u.: 4.46

=====

--- ii ---
VASP calculation (GGA-PBEsol) on a relaxed ZrIrCl2 crystal.

```
4
Lattice="-2.421 1.717 -0.976 -2.844 -0.486 1.199 -0.127 6.244 6.301" Properties=species:S:1:pos:R:3 pbc="T T T"
Zr 0.000 0.000 0.000
Ir -2.696 3.737 3.262
Cl -4.811 2.858 1.959
Cl -0.581 4.617 4.564
```

Output
Space group: R-3m
N(E_F), states/eV/f.u.: 5.04

=====

Which is the most stable structure? i is the most stable.

=====

--- i ---
VASP calculation (GGA-PBEsol) on a relaxed Cd2HgPb crystal.

```
4
Lattice="5.143 0.000 0.000 2.571 4.454 0.000 2.571 1.485 4.199" Properties=species:S:1:pos:R:3 pbc="T T T"
Cd 7.714 4.454 3.149
Cd 0.000 0.000 0.000
Pb 2.571 1.485 1.050
Hg 5.143 2.969 2.100
```

Output
Space group: F-43m
N(E_F), states/eV/f.u.: 2.11

=====

--- ii ---
VASP calculation (GGA-PBEsol) on a relaxed Cd2HgPb crystal.

```
4
Lattice="3.226 0.710 0.000 -0.710 3.226 0.000 0.000 0.000 8.673" Properties=species:S:1:pos:R:3 pbc="T T T"
Cd 0.000 0.000 6.311
Cd 0.000 0.000 2.362
Pb 1.258 1.968 0.000
Hg 1.258 1.968 4.336
```

Output
Space group: P4/mmm
N(E_F), states/eV/f.u.: 1.49

=====

Which is the most stable structure? ii is the most stable.

=====

--- i ---
VASP calculation (GGA-PBEsol) on a relaxed HgPbBr2 crystal.

```
4
Lattice="4.599 0.000 0.000 0.000 4.599 0.000 -2.299 -2.299 5.067" Properties=species:S:1:pos:R:3 pbc="T T T"
Br 2.299 0.000 2.533
Pb 0.000 2.299 2.533
Br 0.000 0.000 0.000
Hg 2.299 2.299 0.000
```

Output
Space group: I-4m2
N(E_F), states/eV/f.u.: 0.03

=====

--- ii ---
VASP calculation (GGA-PBEsol) on a relaxed HgPbBr2 crystal.

```
4
Lattice="5.359 0.000 0.000 2.680 4.641 0.000 2.680 1.547 4.376" Properties=species:S:1:pos:R:3 pbc="T T T"
Br 8.039 4.641 3.282
Hg 5.359 3.094 2.188
Br 2.680 1.547 1.094
Pb 0.000 0.000 0.000
```

Output
Space group: Fm-3m

=====

Which is the most stable structure? ii is the most stable.

=====

--- i ---
VASP calculation (GGA-PBEsol) on a relaxed LaScNi2 crystal.

```
4
Lattice="-2.191 2.531 1.164 -3.229 -2.760 -0.077 2.087 -2.556 4.089" Properties=species:S:1:pos:R:3 pbc="T T T"
La -0.830 -2.401 3.658
Ni -0.466 0.447 3.545
Ni -2.373 -0.554 2.132
Sc 0.235 -0.306 1.107
```

Output
Space group: Amm2
N(E_F), states/eV/f.u.: 2.97

=====

--- ii ---
VASP calculation (GGA-PBEsol) on a relaxed LaScNi2 crystal.

```
4
Lattice="4.382 0.000 0.000 2.191 3.795 0.000 2.191 1.265 4.620" Properties=species:S:1:pos:R:3 pbc="T T T"
Ni 2.191 1.265 0.601
La 4.382 2.530 2.310
Ni 6.572 3.795 4.019
Sc 0.000 0.000 0.000
```

Output
Space group: R-3m
N(E_F), states/eV/f.u.: 3.36

=====

Which is the most stable structure? i is the most stable.

=====

--- i ---
VASP calculation (GGA-PBEsol) on a relaxed MgC3 crystal.

```
4
Lattice="-2.324 0.342 -2.206 -1.541 -2.551 1.228 -1.616 1.940 2.003" Properties=species:S:1:pos:R:3 pbc="T T T"
Mg 0.000 0.000 0.000
C -1.578 -0.305 1.615
C -1.970 1.141 -0.102
C -1.933 -1.104 -0.489
```

Output
Space group: Pm-3m
N(E_F), states/eV/f.u.: 0.74

=====

--- ii ---
VASP calculation (GGA-PBEsol) on a relaxed MgC3 crystal.

```
4
Lattice="-2.278 -0.834 -1.730 -1.618 -0.613 2.426 -1.523 4.111 0.023" Properties=species:S:1:pos:R:3 pbc="T T T"
Mg -2.709 1.332 0.359
C -1.948 -0.723 0.348
C -0.232 0.626 0.003
C -1.291 3.486 0.019
```

Output
Space group: P4/mmm
N(E_F), states/eV/f.u.: 0.50

=====

Which is the most stable structure? ii is the most stable.

=====

--- i ---
VASP calculation (GGA-PBEsol) on a relaxed InMoNF2 crystal.

```
5
Lattice="-2.505 0.901 -2.824 -3.112 -1.945 2.141 -0.919 3.646 1.978" Properties=species:S:1:pos:R:3 pbc="T T T"
In -3.268 1.301 0.648
N -1.253 0.450 -1.412
F -0.459 1.823 0.989
Mo 0.000 0.000 0.000
F -1.556 -0.973 1.070
```

Output
Space group: P4/mmm
N(E_F), states/eV/f.u.: 2.11

=====

--- ii ---
VASP calculation (GGA-PBEsol) on a relaxed InMoNF2 crystal.

```
5
Lattice="4.126 0.000 0.000 0.000 4.126 0.000 0.000 0.000 4.268" Properties=species:S:1:pos:R:3 pbc="T T T"
F 0.000 2.063 0.000
N 0.000 0.000 2.134
Mo 2.063 2.063 2.134
F 2.063 0.000 0.000
In 0.000 0.000 0.000
```

Output
Space group: P4/mmm
N(E_F), states/eV/f.u.: 2.34

=====

Which is the most stable structure? i is the most stable.

=====

--- i ---
VASP calculation (GGA-PBEsol) on a relaxed Ca3Y crystal.

```
4
Lattice="3.576 0.000 -0.033 0.000 5.880 0.000 -1.371 0.000 6.968" Properties=species:S:1:pos:R:3 pbc="T T T"
Ca 0.551 0.000 1.677
Ca -0.685 2.940 3.484
Y 1.788 2.940 -0.017
Ca 1.655 0.000 5.257
```

Output
Space group: P2/m
N(E_F), states/eV/f.u.: 5.27

=====

--- ii ---
VASP calculation (GGA-PBEsol) on a relaxed Ca3Y crystal.

```
4
Lattice="3.722 0.000 0.000 -1.861 3.224 0.000 0.000 0.000 12.430" Properties=species:S:1:pos:R:3 pbc="T T T"
Y 0.000 2.149 6.215
Ca 0.000 2.149 0.000
Ca 0.000 0.000 9.184
Ca 0.000 0.000 3.247
```

Output
Space group: P-6m2
N(E_F), states/eV/f.u.: 5.84

=====

Which is the most stable structure? ii is the most stable.

=====

--- i ---
VASP calculation (GGA-PBEsol) on a relaxed Mn2SeCl crystal.

```
4
Lattice="4.583 0.000 0.000 2.292 3.969 0.000 2.292 1.323 3.742" Properties=species:S:1:pos:R:3 pbc="T T T"
Se 0.000 0.000 0.000
Mn 6.875 3.969 2.807
Mn 2.292 1.323 0.936
Cl 4.583 2.646 1.871
```

Output
Space group: Fm-3m
N(E_F), states/eV/f.u.: 3.14

=====

--- ii ---
VASP calculation (GGA-PBEsol) on a relaxed Mn2SeCl crystal.

```
4
Lattice="3.146 0.000 0.000 0.000 3.146 0.000 0.000 0.000 6.512" Properties=species:S:1:pos:R:3 pbc="T T T"
Mn 0.000 0.000 5.100
Se 1.573 1.573 0.000
Cl 1.573 1.573 3.256
Mn 0.000 0.000 1.412
```

Output
Space group: P4/mmm
N(E_F), states/eV/f.u.: 2.72

=====

Which is the most stable structure? ii is the most stable.